(1)
Here is a geometry-optimized YBeRh structure from the Alexandria database. Energies are from PBE.

Cell lengths 4.492, 4.492, 4.492 Å; angles 60.00, 60.00, 60.00 degrees
Sites, in units of the cell vectors:
1 Y 0.000 0.000 0.000
2 Be 0.250 0.250 0.250
3 Rh 0.750 0.750 0.750

Calculated values
Its polymorph energy (0 for the lowest one) is 1111 meV/atom. As for the crystal system: cubic.

(2)
Here is a geometry-optimized Y2BeRh structure from the Alexandria database. Energies are from PBE.

Cell lengths 3.269, 3.269, 7.698 Å; angles 90.00, 90.00, 90.00 degrees
Sites, in units of the cell vectors:
1 Y 0.000 0.000 0.000
2 Y 0.500 0.500 0.380
3 Be 0.000 0.000 0.634
4 Rh 0.500 0.500 0.738

Calculated values
As for the crystal system: tetragonal.

no.,total energy (eV for the cell shown),calculated formation energy (eV per formula unit)
1,-16.05,1.487
2,-25.09,-1.086